Entry 1:
A plane-wave DFT calculation with PBE was carried out for CsAg6Cl12 after structural relaxation.

POSCAR file:
```
CsAg6Cl12
1.0
8.414 -0.319 -3.060
-4.271 7.256 -3.060
-0.191 -0.319 8.951
Cl Ag Cs
12 6 1
Direct
0.588 0.827 0.437
0.827 0.437 0.588
0.080 0.330 0.883
0.173 0.563 0.412
0.412 0.173 0.563
0.330 0.883 0.080
0.883 0.080 0.330
0.563 0.412 0.173
0.117 0.920 0.670
0.670 0.117 0.920
0.920 0.670 0.117
0.437 0.588 0.827
0.252 0.739 0.259
0.741 0.748 0.261
0.259 0.252 0.739
0.739 0.259 0.252
0.748 0.261 0.741
0.261 0.741 0.748
0.000 0.000 0.000
```

Properties
- symmetry = R-3, No. 148
- total magnetic moment (μB per cell) = 0.00
- raw total energy (eV per atom) = -2.65
- energy relative to the elements, uncorrected (eV/f.u.) = -10.16

---

Entry 2:
A plane-wave DFT calculation with PBE was carried out for Nd5SmDy2Th after structural relaxation.

POSCAR file:
```
Nd5SmDy2Th
1.0
-0.070 -5.482 1.607
5.030 0.157 -9.403
9.274 1.343 4.983
Dy Nd Sm Th
4 10 2 2
Direct
0.113 0.226 0.736
0.116 0.233 0.317
0.884 0.767 0.817
0.887 0.774 0.236
0.388 0.775 0.027
0.293 0.586 0.704
0.707 0.414 0.204
0.015 0.030 0.021
0.612 0.225 0.527
0.521 0.042 0.243
0.985 0.970 0.521
0.479 0.958 0.743
0.277 0.554 0.313
0.723 0.446 0.813
0.408 0.816 0.452
0.592 0.184 0.952
0.801 0.602 0.512
0.199 0.398 0.012
```

Properties
- energy relative to the elements (eV/atom) = 0.157
- symmetry = Cmc2_1, No. 36
- total magnetic moment (μB per cell) = 0.00
- raw total energy (eV per atom) = -4.86

---

Entry 3:
A plane-wave DFT calculation with PBE was carried out for TaFeBr2 after structural relaxation.

POSCAR file:
```
TaFeBr2
1.0
5.163 -0.015 0.000
1.654 4.891 0.000
-3.408 -2.438 3.016
Br Fe Ta
2 1 1
Direct
0.250 0.750 0.500
0.000 0.000 0.000
0.500 0.500 0.000
0.750 0.250 0.500
```

Properties
- symmetry = I-4m2, No. 119
- total magnetic moment (μB per cell) = 1.15
- raw total energy (eV per atom) = -4.97
- E above lowest polymorph (eV per atom) = 0.929
- energy relative to the elements, uncorrected (eV/f.u.) = 3.77

---

Look up the total magnetic moment of the first one.
0.00 μB per cell